No. 1
# SnPdOF2 | Alexandria | SCAN | PBEsol geometry
# Uncorrected energy = -86.97 eV for the cell shown
# Mass density = 6.54 g/cm3
# Formation energy from raw total energies = -0.992 eV/atom
# Calculated volume = 14.2 Å³/atom
data_SnPdOF2
_chemical_formula_sum 'Sn1 Pd1 O1 F2'
_space_group_name_H-M_alt 'P 4/m m m'
_space_group_IT_number 123
_space_group_name_Hall '-P 4 2'
_cell_length_a 4.152
_cell_length_b 4.152
_cell_length_c 4.109
_cell_angle_alpha 90.00
_cell_angle_beta 90.00
_cell_angle_gamma 90.00
loop_
_atom_site_label
_atom_site_fract_x
_atom_site_fract_y
_atom_site_fract_z
_atom_site_occupancy
Sn1 0.000 0.000 0.000 1
Pd1 0.500 0.500 0.500 1
O1 0.500 0.500 0.000 1
F1 0.000 0.500 0.500 1

No. 2
# TaPdO2F | Alexandria | SCAN | PBEsol geometry
# Uncorrected energy = -124.62 eV for the cell shown
# Mass density = 8.97 g/cm3
# Formation energy from raw total energies = -1.853 eV/atom
# Calculated volume = 12.5 Å³/atom
data_TaPdO2F
_chemical_formula_sum 'Ta1 Pd1 O2 F1'
_space_group_name_H-M_alt 'P 4/m m m'
_space_group_IT_number 123
_space_group_name_Hall '-P 4 2'
_cell_length_a 3.919
_cell_length_b 3.919
_cell_length_c 4.076
_cell_angle_alpha 90.00
_cell_angle_beta 90.00
_cell_angle_gamma 90.00
loop_
_atom_site_label
_atom_site_fract_x
_atom_site_fract_y
_atom_site_fract_z
_atom_site_occupancy
Ta1 0.000 0.000 0.000 1
Pd1 0.500 0.500 0.500 1
O1 0.000 0.500 0.000 1
F1 0.000 0.000 0.500 1

No. 3
# Pr4Se3O10F6 | Alexandria | SCAN | PBEsol geometry
# Uncorrected energy = -1527.91 eV for the cell shown
# Mass density = 5.51 g/cm3
# Formation energy from raw total energies = -2.821 eV/atom
# Calculated volume = 14.1 Å³/atom
data_Pr4Se3O10F6
_chemical_formula_sum 'Pr16 Se12 O40 F24'
_space_group_name_H-M_alt 'C 1 2/c 1'
_space_group_IT_number 15
_cell_length_a 22.221
_cell_length_b 7.087
_cell_length_c 8.349
_cell_angle_alpha 90.00
_cell_angle_beta 99.69
_cell_angle_gamma 90.00
loop_
_space_group_symop_operation_xyz
'x,y,z'
'-x,-y,-z'
'-x,y,-z+1/2'
'x,-y,z+1/2'
'x+1/2,y+1/2,z'
'-x+1/2,-y+1/2,-z'
'-x+1/2,y+1/2,-z+1/2'
'x+1/2,-y+1/2,z+1/2'
loop_
_atom_site_label
_atom_site_fract_x
_atom_site_fract_y
_atom_site_fract_z
_atom_site_occupancy
Pr1 0.130 0.082 0.028 1
Pr2 0.213 0.434 0.666 1
Se1 0.000 0.107 0.750 1
Se2 0.093 0.426 0.359 1
O1 0.022 0.229 0.920 1
O2 0.062 0.025 0.241 1
O3 0.117 0.361 0.185 1
O4 0.126 0.267 0.504 1
O5 0.146 0.393 0.896 1
F1 0.179 0.029 0.797 1
F2 0.225 0.240 0.130 1
F3 0.244 0.105 0.582 1